A plane-wave DFT calculation with PBE was carried out for a relaxed V2GaHPt crystal.

abc: 3.749 3.749 4.198
angles: 90.00 90.00 90.00
Space group P4/mmm (No. 123)
Unique sites:
V 0.000 0.500 0.000 (multiplicity 2)
Ga 0.000 0.000 0.500 (multiplicity 1)
H 0.500 0.500 0.000 (multiplicity 1)
Pt 0.500 0.500 0.500 (multiplicity 1)

Calculated values
N(E_F) = 2.9 states/eV per cell
Mass density = 10.345 Mg/m³
Offset from the most stable computed form = 0.0 kJ/mol of atoms